MnTc2W | GGA-PBE | optimized geometry

Geometry as extended XYZ:
```
4
Lattice="-1.5608 2.1777 4.2858 1.5608 -2.1777 4.2858 1.5608 2.1777 -4.2858" Properties=species:S:1:pos:R:3 pbc="T T T"
Mn 0.0000 0.0000 0.0000
Tc 1.5608 0.0000 2.1615
Tc 0.0000 2.1777 2.1243
W 0.0000 0.0000 4.2858
```

* theoretical density: 12.390 g/cm3
* energy: -10.5676 eV per atom
* SG: Immm